# 1
Density functional theory data (PBE) for an optimized crystal structure of SrTi3As.

The value obtained for the volume is 119 Å³/cell. For the total magnetization, the calculation gives 0.00 μB/cell. The value obtained for the formation energy is 194 meV per atom. Its total energy is -5.810 eV per atom. Its energy above the most stable polymorph in this dataset is 0 meV/atom.

The space group is Pm-3m (No. 221) and the conventional cell measures 4.917, 4.917 and 4.917 Å, with angles of 90.00, 90.00 and 90.00 degrees. The asymmetric unit holds Sr at (0.000, 0.000, 0.000), Ti at (0.000, 0.500, 0.500) and As at (0.500, 0.500, 0.500).

=====

# 2
Density functional theory data (PBE) for an optimized crystal structure of SrTi2As.

The value obtained for the volume is 308 Å³/cell. For the total magnetization, the calculation gives 3.76 μB/cell. The value obtained for the formation energy is 351 meV per atom. Its total energy is -5.179 eV per atom. Its energy above the most stable polymorph in this dataset is 359 meV/atom.

The space group is Fm-3m (No. 225) and the conventional cell measures 6.750, 6.750 and 6.750 Å, with angles of 90.00, 90.00 and 90.00 degrees. The asymmetric unit holds Sr at (0.000, 0.000, 0.000), Ti at (0.250, 0.250, 0.250) and As at (0.000, 0.000, 0.500).

=====

# 3
Density functional theory data (PBE) for an optimized crystal structure of SrTi3As.

The value obtained for the volume is 110 Å³/cell. For the total magnetization, the calculation gives 1.72 μB/cell. The value obtained for the formation energy is 1873 meV per atom. Its total energy is -4.130 eV per atom. Its energy above the most stable polymorph in this dataset is 1680 meV/atom.

The space group is Pm-3m (No. 221) and the conventional cell measures 4.790, 4.790 and 4.790 Å, with angles of 90.00, 90.00 and 90.00 degrees. The asymmetric unit holds Sr at (0.000, 0.000, 0.000), Ti at (0.000, 0.000, 0.500) and As at (0.500, 0.500, 0.500).